VASP calculation (meta-GGA SCAN) on a crystal of IrSe2N2 relaxed with PBEsol.

a b c (Å): 5.057 5.057 3.602
angles (deg): 90.00 90.00 90.00
Element x y z (fractional)
Ir: 0.000 0.000 0.000
Se: 0.000 0.500 0.000
Se: 0.500 0.000 0.000
N: 0.000 0.000 0.500
N: 0.500 0.500 0.500

## Properties
V (Å³ per cell): 92
N(E_F) (states/eV/cell): 3.3
Calculated density (g/cm3): 6.8
Symmetry: P4/mmm, No. 123
Uncorrected formation energy (eV per atom): 1.4612

=====

VASP calculation (meta-GGA SCAN) on a crystal of IrSeN3 relaxed with PBEsol.

a b c (Å): 3.707 3.707 3.707
angles (deg): 90.00 90.00 90.00
Element x y z (fractional)
Ir: 0.000 0.000 0.000
Se: 0.500 0.500 0.500
N: 0.000 0.500 0.500
N: 0.500 0.000 0.500
N: 0.500 0.500 0.000

## Properties
V (Å³ per cell): 51
N(E_F) (states/eV/cell): 3.2
Calculated density (g/cm3): 10.2
Symmetry: Pm-3m, No. 221
Uncorrected formation energy (eV per atom): 2.4644

=====

VASP calculation (meta-GGA SCAN) on a crystal of TeIrSeN2 relaxed with PBEsol.

a b c (Å): 3.674 3.674 7.007
angles (deg): 90.00 90.00 90.00
Element x y z (fractional)
Te: 0.000 0.000 0.000
Ir: 0.500 0.500 0.000
Se: 0.000 0.000 0.500
N: 0.000 0.500 0.500
N: 0.500 0.000 0.500

## Properties
V (Å³ per cell): 95
N(E_F) (states/eV/cell): 2.8
Calculated density (g/cm3): 7.5
Symmetry: P4/mmm, No. 123
Uncorrected formation energy (eV per atom): 1.8233

=====

VASP calculation (meta-GGA SCAN) on a crystal of TiIrSe2N relaxed with PBEsol.

a b c (Å): 4.935 4.935 3.544
angles (deg): 90.00 90.00 90.00
Element x y z (fractional)
Ti: 0.000 0.000 0.000
Ir: 0.500 0.500 0.500
Se: 0.000 0.500 0.000
Se: 0.500 0.000 0.000
N: 0.000 0.000 0.500

## Properties
V (Å³ per cell): 86
N(E_F) (states/eV/cell): 3.6
Calculated density (g/cm3): 7.9
Symmetry: P4/mmm, No. 123
Uncorrected formation energy (eV per atom): 0.5757

=====

VASP calculation (meta-GGA SCAN) on a crystal of Tl2IrSeN relaxed with PBEsol.

a b c (Å): 5.505 5.505 3.645
angles (deg): 90.00 90.00 90.00
Element x y z (fractional)
Tl: 0.000 0.500 0.000
Tl: 0.500 0.000 0.000
Ir: 0.000 0.000 0.500
Se: 0.500 0.500 0.500
N: 0.000 0.000 0.000

## Properties
V (Å³ per cell): 110
N(E_F) (states/eV/cell): 4.5
Calculated density (g/cm3): 10.4
Symmetry: P4/mmm, No. 123
Uncorrected formation energy (eV per atom): 0.4294

=====

VASP calculation (meta-GGA SCAN) on a crystal of YIrSe2N relaxed with PBEsol.

a b c (Å): 5.309 5.309 3.986
angles (deg): 90.00 90.00 90.00
Element x y z (fractional)
Y: 0.000 0.000 0.000
Ir: 0.500 0.500 0.500
Se: 0.000 0.500 0.000
Se: 0.500 0.000 0.000
N: 0.000 0.000 0.500

## Properties
V (Å³ per cell): 112
N(E_F) (states/eV/cell): 4.4
Calculated density (g/cm3): 6.7
Symmetry: P4/mmm, No. 123
Uncorrected formation energy (eV per atom): 1.0757

=====

VASP calculation (meta-GGA SCAN) on a crystal of ZnIrSe2N relaxed with PBEsol.

a b c (Å): 5.089 5.089 3.616
angles (deg): 90.00 90.00 90.00
Element x y z (fractional)
Zn: 0.000 0.000 0.000
Ir: 0.500 0.500 0.500
Se: 0.000 0.500 0.500
Se: 0.500 0.000 0.500
N: 0.500 0.500 0.000

## Properties
V (Å³ per cell): 94
N(E_F) (states/eV/cell): 3.8
Calculated density (g/cm3): 7.6
Symmetry: P4/mmm, No. 123
Uncorrected formation energy (eV per atom): 0.4301

=====

VASP calculation (meta-GGA SCAN) on a crystal of Sr2IrN relaxed with PBEsol.

a b c (Å): 7.670 7.670 7.670
angles (deg): 93.49 93.49 151.42
Element x y z (fractional)
Sr: 0.375 0.076 0.201
Sr: 0.826 0.625 0.701
Sr: 0.875 0.174 0.799
Sr: 0.924 0.125 0.299
Ir: 0.250 0.750 0.500
Ir: 0.500 0.500 0.000
N: 0.000 0.000 0.000
N: 0.750 0.250 0.500

## Properties
V (Å³ per cell): 209
N(E_F) (states/eV/cell): 4.7
Calculated density (g/cm3): 6.1
Symmetry: I-42d, No. 122
Uncorrected formation energy (eV per atom): -0.6051

=====

VASP calculation (meta-GGA SCAN) on a crystal of ZrTaIrN2 relaxed with PBEsol.

a b c (Å): 3.952 3.952 5.235
angles (deg): 90.00 90.00 90.00
Element x y z (fractional)
Zr: 0.000 0.000 0.000
Ta: 0.500 0.500 0.500
Ir: 0.000 0.000 0.500
N: 0.000 0.500 0.000
N: 0.500 0.000 0.000

## Properties
V (Å³ per cell): 82
N(E_F) (states/eV/cell): 3.0
Calculated density (g/cm3): 10.0
Symmetry: P4/mmm, No. 123
Uncorrected formation energy (eV per atom): 0.9392

=====

VASP calculation (meta-GGA SCAN) on a crystal of TcTeIrN2 relaxed with PBEsol.

a b c (Å): 3.759 3.759 5.706
angles (deg): 90.00 90.00 90.00
Element x y z (fractional)
Tc: 0.000 0.000 0.000
Te: 0.000 0.000 0.500
Ir: 0.500 0.500 0.500
N: 0.000 0.500 0.000
N: 0.500 0.000 0.000

## Properties
V (Å³ per cell): 81
N(E_F) (states/eV/cell): 2.3
Calculated density (g/cm3): 9.2
Symmetry: P4/mmm, No. 123
Uncorrected formation energy (eV per atom): 0.9104

=====

VASP calculation (meta-GGA SCAN) on a crystal of TeIr2N relaxed with PBEsol.

a b c (Å): 4.312 4.312 4.312
angles (deg): 60.00 60.00 60.00
Element x y z (fractional)
Te: 0.000 0.000 0.000
Ir: 0.250 0.250 0.250
Ir: 0.750 0.750 0.750
N: 0.500 0.500 0.500

## Properties
V (Å³ per cell): 57
N(E_F) (states/eV/cell): 2.4
Calculated density (g/cm3): 15.4
Symmetry: Fm-3m, No. 225
Uncorrected formation energy (eV per atom): 1.3457

=====

VASP calculation (meta-GGA SCAN) on a crystal of ZrTe2IrN relaxed with PBEsol.

a b c (Å): 5.393 5.393 3.652
angles (deg): 90.00 90.00 90.00
Element x y z (fractional)
Zr: 0.000 0.000 0.000
Te: 0.000 0.500 0.500
Te: 0.500 0.000 0.500
Ir: 0.500 0.500 0.500
N: 0.500 0.500 0.000

## Properties
V (Å³ per cell): 106
N(E_F) (states/eV/cell): 2.9
Calculated density (g/cm3): 8.6
Symmetry: P4/mmm, No. 123
Uncorrected formation energy (eV per atom): 0.0986

=====

VASP calculation (meta-GGA SCAN) on a crystal of TiIrN2 relaxed with PBEsol.

a b c (Å): 6.410 6.410 6.410
angles (deg): 25.93 25.93 25.93
Element x y z (fractional)
Ti: 0.000 0.000 0.000
Ir: 0.500 0.500 0.500
N: 0.396 0.396 0.396
N: 0.604 0.604 0.604

## Properties
V (Å³ per cell): 44
N(E_F) (states/eV/cell): 2.5
Calculated density (g/cm3): 10.0
Symmetry: R-3m, No. 166
Uncorrected formation energy (eV per atom): -0.4923

=====

VASP calculation (meta-GGA SCAN) on a crystal of TiIrN3 relaxed with PBEsol.

a b c (Å): 3.835 3.835 3.835
angles (deg): 90.00 90.00 90.00
Element x y z (fractional)
Ti: 0.000 0.000 0.000
Ir: 0.500 0.500 0.500
N: 0.000 0.000 0.500
N: 0.000 0.500 0.000
N: 0.500 0.000 0.000

## Properties
V (Å³ per cell): 56
N(E_F) (states/eV/cell): 2.4
Calculated density (g/cm3): 8.3
Symmetry: Pm-3m, No. 221
Uncorrected formation energy (eV per atom): 1.1982

=====

VASP calculation (meta-GGA SCAN) on a crystal of TiIr3N relaxed with PBEsol.

a b c (Å): 4.531 4.531 4.531
angles (deg): 90.00 90.00 90.00
Element x y z (fractional)
Ti: 0.000 0.000 0.000
Ir: 0.000 0.000 0.500
Ir: 0.000 0.500 0.000
Ir: 0.500 0.000 0.000
N: 0.500 0.500 0.500

## Properties
V (Å³ per cell): 93
N(E_F) (states/eV/cell): 3.9
Calculated density (g/cm3): 11.4
Symmetry: Pm-3m, No. 221
Uncorrected formation energy (eV per atom): 2.5639

=====

VASP calculation (meta-GGA SCAN) on a crystal of TlIrN2 relaxed with PBEsol.

a b c (Å): 6.763 6.763 6.763
angles (deg): 27.00 27.00 27.00
Element x y z (fractional)
Tl: 0.000 0.000 0.000
Ir: 0.500 0.500 0.500
N: 0.120 0.120 0.120
N: 0.880 0.880 0.880

## Properties
V (Å³ per cell): 56
N(E_F) (states/eV/cell): 2.4
Calculated density (g/cm3): 12.5
Symmetry: R-3m, No. 166
Uncorrected formation energy (eV per atom): 0.6958

=====

VASP calculation (meta-GGA SCAN) on a crystal of Zr2TlIrN relaxed with PBEsol.

a b c (Å): 5.292 5.292 3.874
angles (deg): 90.00 90.00 90.00
Element x y z (fractional)
Zr: 0.000 0.500 0.000
Zr: 0.500 0.000 0.000
Tl: 0.000 0.000 0.000
Ir: 0.500 0.500 0.500
N: 0.000 0.000 0.500

## Properties
V (Å³ per cell): 108
N(E_F) (states/eV/cell): 5.4
Calculated density (g/cm3): 9.1
Symmetry: P4/mmm, No. 123
Uncorrected formation energy (eV per atom): 1.7324

=====

VASP calculation (meta-GGA SCAN) on a crystal of IrW3N relaxed with PBEsol.

a b c (Å): 4.063 4.063 4.063
angles (deg): 90.00 90.00 90.00
Element x y z (fractional)
Ir: 0.000 0.000 0.000
W: 0.000 0.500 0.500
W: 0.500 0.000 0.500
W: 0.500 0.500 0.000
N: 0.500 0.500 0.500

## Properties
V (Å³ per cell): 67
N(E_F) (states/eV/cell): 3.4
Calculated density (g/cm3): 18.8
Symmetry: Pm-3m, No. 221
Uncorrected formation energy (eV per atom): -0.0104

=====

VASP calculation (meta-GGA SCAN) on a crystal of ZrIrN2 relaxed with PBEsol.

a b c (Å): 6.014 6.014 6.014
angles (deg): 31.85 31.85 31.85
Element x y z (fractional)
Zr: 0.000 0.000 0.000
Ir: 0.500 0.500 0.500
N: 0.121 0.121 0.121
N: 0.879 0.879 0.879

## Properties
V (Å³ per cell): 54
N(E_F) (states/eV/cell): 2.5
Calculated density (g/cm3): 9.6
Symmetry: R-3m, No. 166
Uncorrected formation energy (eV per atom): 0.2057

=====

VASP calculation (meta-GGA SCAN) on a crystal of Zr3IrN relaxed with PBEsol.

a b c (Å): 4.366 4.366 4.366
angles (deg): 90.00 90.00 90.00
Element x y z (fractional)
Zr: 0.000 0.000 0.500
Zr: 0.000 0.500 0.000
Zr: 0.500 0.000 0.000
Ir: 0.500 0.500 0.500
N: 0.000 0.000 0.000

## Properties
V (Å³ per cell): 83
N(E_F) (states/eV/cell): 4.1
Calculated density (g/cm3): 9.6
Symmetry: Pm-3m, No. 221
Uncorrected formation energy (eV per atom): -1.1734

=====

VASP calculation (meta-GGA SCAN) on a crystal of ZrIr3N relaxed with PBEsol.

a b c (Å): 4.117 4.117 4.117
angles (deg): 90.00 90.00 90.00
Element x y z (fractional)
Zr: 0.000 0.000 0.000
Ir: 0.000 0.500 0.500
Ir: 0.500 0.000 0.500
Ir: 0.500 0.500 0.000
N: 0.500 0.500 0.500

## Properties
V (Å³ per cell): 70
N(E_F) (states/eV/cell): 3.1
Calculated density (g/cm3): 16.2
Symmetry: Pm-3m, No. 221
Uncorrected formation energy (eV per atom): 0.0659

=====

VASP calculation (meta-GGA SCAN) on a crystal of NaNd2IrO6 relaxed with PBEsol.

a b c (Å): 5.459 5.940 9.512
angles (deg): 90.00 124.07 90.00
Element x y z (fractional)
Na: 0.000 0.000 0.000
Na: 0.000 0.500 0.500
Nd: 0.223 0.077 0.747
Nd: 0.223 0.423 0.247
Nd: 0.777 0.577 0.753
Nd: 0.777 0.923 0.253
Ir: 0.500 0.000 0.500
Ir: 0.500 0.500 0.000
O: 0.150 0.175 0.448
O: 0.150 0.325 0.948
O: 0.270 0.716 0.433
O: 0.270 0.784 0.933
O: 0.387 0.048 0.266
O: 0.387 0.452 0.766
O: 0.613 0.548 0.234
O: 0.613 0.952 0.734
O: 0.730 0.216 0.067
O: 0.730 0.284 0.567
O: 0.850 0.675 0.052
O: 0.850 0.825 0.552

## Properties
V (Å³ per cell): 255
N(E_F) (states/eV/cell): 3.9
Calculated density (g/cm3): 7.8
Symmetry: P2_1/c, No. 14
Uncorrected formation energy (eV per atom): -2.4902

=====

VASP calculation (meta-GGA SCAN) on a crystal of NaIrO3 relaxed with PBEsol.

a b c (Å): 5.340 5.340 7.147
angles (deg): 90.00 90.00 146.48
Element x y z (fractional)
Na: 0.249 0.751 0.750
Na: 0.751 0.249 0.250
Ir: 0.500 0.500 0.000
Ir: 0.500 0.500 0.500
O: 0.114 0.886 0.059
O: 0.114 0.886 0.441
O: 0.426 0.574 0.250
O: 0.574 0.426 0.750
O: 0.886 0.114 0.559
O: 0.886 0.114 0.941

## Properties
V (Å³ per cell): 113
N(E_F) (states/eV/cell): 3.8
Calculated density (g/cm3): 7.8
Symmetry: Cmcm, No. 63
Uncorrected formation energy (eV per atom): -1.1820

=====

VASP calculation (meta-GGA SCAN) on a crystal of NaPr2IrO6 relaxed with PBEsol.

a b c (Å): 5.489 5.960 9.573
angles (deg): 90.00 124.18 90.00
Element x y z (fractional)
Na: 0.000 0.000 0.000
Na: 0.000 0.500 0.500
Pr: 0.225 0.075 0.748
Pr: 0.225 0.425 0.248
Pr: 0.775 0.575 0.752
Pr: 0.775 0.925 0.252
Ir: 0.500 0.000 0.500
Ir: 0.500 0.500 0.000
O: 0.153 0.176 0.449
O: 0.153 0.324 0.949
O: 0.271 0.718 0.436
O: 0.271 0.782 0.936
O: 0.382 0.044 0.266
O: 0.382 0.456 0.766
O: 0.618 0.544 0.234
O: 0.618 0.956 0.734
O: 0.729 0.218 0.064
O: 0.729 0.282 0.564
O: 0.847 0.676 0.051
O: 0.847 0.824 0.551

## Properties
V (Å³ per cell): 259
N(E_F) (states/eV/cell): 3.6
Calculated density (g/cm3): 7.6
Symmetry: P2_1/c, No. 14
Uncorrected formation energy (eV per atom): -2.4748

=====

VASP calculation (meta-GGA SCAN) on a crystal of NaSm2IrO6 relaxed with PBEsol.

a b c (Å): 5.413 5.893 9.418
angles (deg): 90.00 123.84 90.00
Element x y z (fractional)
Na: 0.000 0.000 0.000
Na: 0.000 0.500 0.500
Sm: 0.221 0.078 0.746
Sm: 0.221 0.422 0.246
Sm: 0.779 0.578 0.754
Sm: 0.779 0.922 0.254
Ir: 0.500 0.000 0.500
Ir: 0.500 0.500 0.000
O: 0.145 0.174 0.446
O: 0.145 0.326 0.946
O: 0.267 0.715 0.428
O: 0.267 0.785 0.928
O: 0.396 0.054 0.267
O: 0.396 0.446 0.767
O: 0.604 0.554 0.233
O: 0.604 0.946 0.733
O: 0.733 0.215 0.072
O: 0.733 0.285 0.572
O: 0.855 0.674 0.054
O: 0.855 0.826 0.554

## Properties
V (Å³ per cell): 250
N(E_F) (states/eV/cell): 3.8
Calculated density (g/cm3): 8.1
Symmetry: P2_1/c, No. 14
Uncorrected formation energy (eV per atom): -2.5093

=====

VASP calculation (meta-GGA SCAN) on a crystal of Na3IrOs relaxed with PBEsol.

a b c (Å): 5.310 5.310 5.310
angles (deg): 90.00 90.00 90.00
Element x y z (fractional)
Na: 0.000 0.000 0.500
Na: 0.000 0.500 0.000
Na: 0.500 0.000 0.000
Ir: 0.500 0.500 0.500
Os: 0.000 0.000 0.000

## Properties
V (Å³ per cell): 150
N(E_F) (states/eV/cell): 3.8
Calculated density (g/cm3): 5.0
DFT formation energy (eV per atom): 2.134
Symmetry: Pm-3m, No. 221